[1]
Crystalline NdSm5Ho5 at its relaxed geometry, computed with PBE-GGA.

Cell: 6.1030 6.1030 11.7335 Å, 90.00 90.00 120.00°
With the nearest neighbours (Å) after each atom.
Fractional positions:
Nd1 0.0000 0.0000 0.0000  5 Sm 3.52-3.77
Sm1 0.0000 0.0000 0.3214  9 Ho 3.58-3.70, 1 Nd 3.77
Sm2 0.0000 0.0000 0.6786  9 Ho 3.58-3.70, 1 Nd 3.77
Sm3 0.3333 0.6667 0.1560  7 Sm 3.66-4.02, 3 Ho 3.75, 3 Nd 3.97
Sm4 0.3333 0.6667 0.8440  7 Sm 3.66-4.02, 3 Ho 3.75, 3 Nd 3.97
Sm5 0.6667 0.3333 0.0000  2 Ho 3.12
Ho1 0.0003 0.5002 0.5000  6 Ho 3.05-3.26
Ho2 0.4998 0.9997 0.5000  6 Ho 3.05-3.26
Ho3 0.4998 0.5002 0.5000  6 Ho 3.05-3.26
Ho4 0.6667 0.3333 0.2660  1 Sm 3.12, 3 Ho 3.26
Ho5 0.6667 0.3333 0.7340  1 Sm 3.12, 3 Ho 3.26

Results
DFT formation energy ... 299 meV/atom
Symmetry ... P-6m2


[2]
Crystalline Nd8SmHo4 at its relaxed geometry, computed with PBE-GGA.

Cell: 10.4307 10.4307 10.4307 Å, 41.22 41.22 41.22°
With the nearest neighbours (Å) after each atom.
Fractional positions:
Nd1 0.2026 0.7515 0.7515  1 Sm 3.04, 2 Nd 3.31, 1 Ho 3.40
Nd2 0.2145 0.2145 0.2145  9 Nd 3.72-3.84, 3 Ho 4.00
Nd3 0.2485 0.2485 0.7974  1 Sm 3.04, 2 Nd 3.31, 1 Ho 3.40
Nd4 0.2485 0.7974 0.2485  1 Sm 3.04, 2 Nd 3.31, 1 Ho 3.40
Nd5 0.7515 0.2026 0.7515  1 Sm 3.04, 2 Nd 3.31, 1 Ho 3.40
Nd6 0.7515 0.7515 0.2026  1 Sm 3.04, 2 Nd 3.31, 1 Ho 3.40
Nd7 0.7855 0.7855 0.7855  9 Nd 3.72-3.84, 3 Ho 4.00
Nd8 0.7974 0.2485 0.2485  1 Sm 3.04, 2 Nd 3.31, 1 Ho 3.40
Sm1 0.5000 0.5000 0.5000  6 Nd 3.04
Ho1 0.0000 0.0000 0.0000  6 Nd 3.40, 6 Ho 3.67
Ho2 0.0000 0.5000 0.5000  6 Nd 3.58-4.00, 6 Ho 3.67
Ho3 0.5000 0.0000 0.5000  6 Nd 3.58-4.00, 6 Ho 3.67
Ho4 0.5000 0.5000 0.0000  6 Nd 3.58-4.00, 6 Ho 3.67

Results
DFT formation energy ... 182 meV/atom
Symmetry ... R-3m


[3]
Crystalline Nd2Sm8Ho at its relaxed geometry, computed with PBE-GGA.

Cell: 9.0314 9.0314 6.7776 Å, 99.82 99.82 44.21°
With the nearest neighbours (Å) after each atom.
Fractional positions:
Nd1 0.1969 0.1969 0.3024  7 Sm 3.39-3.74, 1 Ho 3.78
Nd2 0.8031 0.8031 0.6976  7 Sm 3.39-3.74, 1 Ho 3.78
Sm1 0.1755 0.6500 0.0966  5 Sm 3.23-3.57, 1 Ho 3.37, 1 Nd 3.47
Sm2 0.2438 0.2438 0.8110  5 Sm 3.32-3.51, 4 Nd 3.39-3.66
Sm3 0.3500 0.8245 0.9034  5 Sm 3.23-3.57, 1 Ho 3.37, 1 Nd 3.47
Sm4 0.4101 0.4101 0.5890  8 Sm 3.40-3.79, 1 Nd 3.74
Sm5 0.5899 0.5899 0.4110  8 Sm 3.40-3.79, 1 Nd 3.74
Sm6 0.6500 0.1755 0.0966  5 Sm 3.23-3.57, 1 Ho 3.37, 1 Nd 3.47
Sm7 0.7562 0.7562 0.1890  5 Sm 3.32-3.51, 4 Nd 3.39-3.66
Sm8 0.8245 0.3500 0.9034  5 Sm 3.23-3.57, 1 Ho 3.37, 1 Nd 3.47
Ho1 0.0000 0.0000 0.5000  4 Sm 3.37

Results
DFT formation energy ... 155 meV/atom
Symmetry ... C2/m


[4]
Crystalline NdSm3Ho4 at its relaxed geometry, computed with PBE-GGA.

Cell: 11.4603 7.3015 6.2984 Å, 90.00 90.00 90.00°
With the nearest neighbours (Å) after each atom.
Fractional positions:
Nd1 0.0000 0.1267 0.0000  6 Sm 3.56-3.66, 6 Ho 3.56-3.69
Nd2 0.5000 0.8733 0.5000  6 Sm 3.56-3.66, 6 Ho 3.56-3.69
Sm1 0.0000 0.8725 0.5001  6 Ho 3.55-3.69, 4 Sm 3.56-3.57, 2 Nd 3.65-3.66
Sm2 0.2499 0.1278 0.3347  6 Ho 3.56-3.69, 2 Nd 3.56-3.57, 4 Sm 3.56-3.66
Sm3 0.2501 0.8722 0.8347  6 Ho 3.56-3.69, 2 Nd 3.56-3.57, 4 Sm 3.56-3.66
Sm4 0.5000 0.1275 0.0001  6 Ho 3.55-3.69, 4 Sm 3.56-3.57, 2 Nd 3.65-3.66
Sm5 0.7501 0.1278 0.3347  6 Ho 3.56-3.69, 2 Nd 3.56-3.57, 4 Sm 3.56-3.66
Sm6 0.7499 0.8722 0.8347  6 Ho 3.56-3.69, 2 Nd 3.56-3.57, 4 Sm 3.56-3.66
Ho1 0.0000 0.3783 0.5010  6 Ho 3.53-3.62, 4 Sm 3.56-3.69, 2 Nd 3.64-3.65
Ho2 0.0000 0.6219 0.0014  6 Ho 3.54-3.62, 4 Sm 3.56-3.65, 2 Nd 3.62-3.69
Ho3 0.2504 0.3779 0.8341  6 Ho 3.53-3.62, 5 Sm 3.55-3.69, 1 Nd 3.56
Ho4 0.2496 0.6221 0.3341  6 Ho 3.53-3.62, 5 Sm 3.55-3.69, 1 Nd 3.56
Ho5 0.5000 0.3781 0.5014  6 Ho 3.54-3.62, 4 Sm 3.56-3.65, 2 Nd 3.62-3.69
Ho6 0.5000 0.6217 0.0010  6 Ho 3.53-3.62, 4 Sm 3.56-3.69, 2 Nd 3.64-3.65
Ho7 0.7496 0.3779 0.8341  6 Ho 3.53-3.62, 5 Sm 3.55-3.69, 1 Nd 3.56
Ho8 0.7504 0.6221 0.3341  6 Ho 3.53-3.62, 5 Sm 3.55-3.69, 1 Nd 3.56

Results
DFT formation energy ... 23 meV/atom
Symmetry ... Pmn2_1


[5]
Crystalline Nd2SmHo7 at its relaxed geometry, computed with PBE-GGA.

Cell: 14.7952 14.7952 3.5154 Å, 90.00 90.00 154.63°
With the nearest neighbours (Å) after each atom.
Fractional positions:
Nd1 0.2077 0.7923 0.0000  2 Nd 3.52, 8 Ho 3.56-3.75
Nd2 0.7923 0.2077 0.0000  2 Nd 3.52, 8 Ho 3.56-3.75
Sm1 0.5000 0.5000 0.5000  2 Sm 3.52, 12 Ho 3.69-3.71
Ho1 0.0000 0.0000 0.0000  6 Ho 3.28-3.52
Ho2 0.1546 0.3515 0.0000  7 Ho 3.21-3.52, 1 Nd 3.56
Ho3 0.3151 0.6849 0.5000  6 Ho 3.45-3.52, 6 Nd 3.56-3.75
Ho4 0.3515 0.1546 0.0000  7 Ho 3.21-3.52, 1 Nd 3.56
Ho5 0.6485 0.8454 0.0000  7 Ho 3.21-3.52, 1 Nd 3.56
Ho6 0.6849 0.3151 0.5000  6 Ho 3.45-3.52, 6 Nd 3.56-3.75
Ho7 0.8454 0.6485 0.0000  7 Ho 3.21-3.52, 1 Nd 3.56

Results
DFT formation energy ... 163 meV/atom
Symmetry ... Cmmm


[6]
Crystalline NdSmHo4 at its relaxed geometry, computed with PBE-GGA.

Cell: 6.6071 6.6071 6.6071 Å, 60.00 60.00 60.00°
With the nearest neighbours (Å) after each atom.
Fractional positions:
Nd1 0.0000 0.0000 0.0000  12 Ho 3.87, 4 Sm 4.05
Sm1 0.7500 0.7500 0.7500  12 Ho 3.87, 4 Nd 4.05
Ho1 0.3752 0.3752 0.3752  6 Ho 3.30-3.31
Ho2 0.3752 0.3752 0.8742  6 Ho 3.30-3.31
Ho3 0.3752 0.8742 0.3752  6 Ho 3.30-3.31
Ho4 0.8742 0.3752 0.3752  6 Ho 3.30-3.31

Results
DFT formation energy ... 287 meV/atom
Symmetry ... F-43m


[7]
Crystalline Nd2SmHo5 at its relaxed geometry, computed with PBE-GGA.

Cell: 7.1515 14.3069 5.0547 Å, 90.00 90.00 90.00°
With the nearest neighbours (Å) after each atom.
Fractional positions:
Nd1 0.2485 0.1255 0.0000  10 Ho 3.57-3.59, 2 Sm 3.58
Nd2 0.2515 0.6255 0.0000  10 Ho 3.57-3.59, 2 Sm 3.58
Nd3 0.7485 0.3745 0.0000  10 Ho 3.57-3.59, 2 Sm 3.58
Nd4 0.7515 0.8745 0.0000  10 Ho 3.57-3.59, 2 Sm 3.58
Sm1 0.0000 0.5000 0.5000  8 Ho 3.57-3.59, 4 Nd 3.58
Sm2 0.5000 0.0000 0.5000  8 Ho 3.57-3.59, 4 Nd 3.58
Ho1 0.0000 0.0000 0.5000  6 Ho 3.57-3.58, 4 Nd 3.57, 2 Sm 3.58
Ho2 0.0013 0.7506 0.5000  4 Nd 3.57-3.58, 7 Ho 3.57-3.58, 1 Sm 3.59
Ho3 0.2490 0.3747 0.0000  4 Nd 3.57-3.59, 6 Ho 3.57-3.58, 2 Sm 3.57
Ho4 0.2510 0.8747 0.0000  4 Nd 3.57-3.59, 6 Ho 3.57-3.58, 2 Sm 3.57
Ho5 0.4987 0.2506 0.5000  4 Nd 3.57-3.58, 7 Ho 3.57-3.58, 1 Sm 3.59
Ho6 0.5000 0.5000 0.5000  6 Ho 3.57-3.58, 4 Nd 3.57, 2 Sm 3.58
Ho7 0.5013 0.7494 0.5000  4 Nd 3.57-3.58, 7 Ho 3.57-3.58, 1 Sm 3.59
Ho8 0.7490 0.1253 0.0000  4 Nd 3.57-3.59, 6 Ho 3.57-3.58, 2 Sm 3.57
Ho9 0.7510 0.6253 0.0000  4 Nd 3.57-3.59, 6 Ho 3.57-3.58, 2 Sm 3.57
Ho10 0.9987 0.2494 0.5000  4 Nd 3.57-3.58, 7 Ho 3.57-3.58, 1 Sm 3.59

Results
DFT formation energy ... 19 meV/atom
Symmetry ... Pbam


[8]
Crystalline NdSm7Ho12 at its relaxed geometry, computed with PBE-GGA.

Cell: 8.7151 8.7151 8.7151 Å, 95.11 95.11 95.11°
With the nearest neighbours (Å) after each atom.
Fractional positions:
Nd1 0.0000 0.0000 0.0000  6 Sm 3.10
Sm1 0.0188 0.3550 0.0848  1 Sm 3.07, 2 Ho 3.07-3.40, 1 Nd 3.10
Sm2 0.0848 0.0188 0.3550  1 Sm 3.07, 2 Ho 3.07-3.40, 1 Nd 3.10
Sm3 0.3550 0.0848 0.0188  1 Sm 3.07, 2 Ho 3.07-3.40, 1 Nd 3.10
Sm4 0.5000 0.5000 0.5000  6 Ho 3.08
Sm5 0.6450 0.9152 0.9812  1 Sm 3.07, 2 Ho 3.07-3.40, 1 Nd 3.10
Sm6 0.9152 0.9812 0.6450  1 Sm 3.07, 2 Ho 3.07-3.40, 1 Nd 3.10
Sm7 0.9812 0.6450 0.9152  1 Sm 3.07, 2 Ho 3.07-3.40, 1 Nd 3.10
Ho1 0.1471 0.4810 0.4159  2 Sm 3.07-3.08, 2 Ho 3.09-3.34
Ho2 0.1872 0.3184 0.7484  3 Ho 3.34-3.54, 3 Sm 3.40-3.60
Ho3 0.2516 0.8128 0.6816  3 Ho 3.34-3.54, 3 Sm 3.40-3.60
Ho4 0.3184 0.7484 0.1872  3 Ho 3.34-3.54, 3 Sm 3.40-3.60
Ho5 0.4159 0.1471 0.4810  2 Sm 3.07-3.08, 2 Ho 3.09-3.34
Ho6 0.4810 0.4159 0.1471  2 Sm 3.07-3.08, 2 Ho 3.09-3.34
Ho7 0.5190 0.5841 0.8529  2 Sm 3.07-3.08, 2 Ho 3.09-3.34
Ho8 0.5841 0.8529 0.5190  2 Sm 3.07-3.08, 2 Ho 3.09-3.34
Ho9 0.6816 0.2516 0.8128  3 Ho 3.34-3.54, 3 Sm 3.40-3.60
Ho10 0.7484 0.1872 0.3184  3 Ho 3.34-3.54, 3 Sm 3.40-3.60
Ho11 0.8128 0.6816 0.2516  3 Ho 3.34-3.54, 3 Sm 3.40-3.60
Ho12 0.8529 0.5190 0.5841  2 Sm 3.07-3.08, 2 Ho 3.09-3.34

Results
DFT formation energy ... 289 meV/atom
Symmetry ... R-3


[9]
Crystalline NdSm2Ho7 at its relaxed geometry, computed with PBE-GGA.

Cell: 6.1619 7.1166 7.9523 Å, 77.14 75.11 73.25°
With the nearest neighbours (Å) after each atom.
Fractional positions:
Nd1 0.0000 0.0000 0.0000  10 Ho 3.55-3.56, 2 Sm 3.56
Sm1 0.2003 0.3002 0.6001  10 Ho 3.55-3.57, 1 Sm 3.56, 1 Nd 3.56
Sm2 0.7997 0.6998 0.3999  10 Ho 3.55-3.57, 1 Sm 3.56, 1 Nd 3.56
Ho1 0.0000 0.5000 0.0000  8 Ho 3.55-3.56, 2 Sm 3.56, 2 Nd 3.56
Ho2 0.2003 0.7995 0.6002  7 Ho 3.55-3.57, 4 Sm 3.55-3.56, 1 Nd 3.56
Ho3 0.3996 0.1004 0.1997  2 Nd 3.55-3.56, 8 Ho 3.55-3.56, 2 Sm 3.56
Ho4 0.4010 0.5995 0.1998  8 Ho 3.55-3.56, 3 Sm 3.55-3.57, 1 Nd 3.56
Ho5 0.5990 0.4005 0.8002  8 Ho 3.55-3.56, 3 Sm 3.55-3.57, 1 Nd 3.56
Ho6 0.6004 0.8996 0.8003  2 Nd 3.55-3.56, 8 Ho 3.55-3.56, 2 Sm 3.56
Ho7 0.7997 0.2005 0.3998  7 Ho 3.55-3.57, 4 Sm 3.55-3.56, 1 Nd 3.56

Results
DFT formation energy ... 17 meV/atom
Symmetry ... P-1


[10]
Crystalline Nd12Sm5Ho2 at its relaxed geometry, computed with PBE-GGA.

Cell: 10.3061 10.3061 10.1774 Å, 113.43 113.43 42.80°
With the nearest neighbours (Å) after each atom.
Fractional positions:
Nd1 0.0069 0.0069 0.3250  5 Nd 3.40-3.68, 2 Ho 3.59
Nd2 0.0911 0.5898 0.1480  6 Nd 3.48-3.77, 4 Sm 3.66-3.88
Nd3 0.0922 0.5768 0.4985  5 Nd 3.26-3.65
Nd4 0.4102 0.9089 0.8520  6 Nd 3.48-3.77, 4 Sm 3.66-3.88
Nd5 0.4232 0.9078 0.5015  5 Nd 3.26-3.65
Nd6 0.4907 0.4907 0.7828  1 Sm 2.96, 2 Ho 3.09
Nd7 0.5093 0.5093 0.2172  1 Sm 2.96, 2 Ho 3.09
Nd8 0.5768 0.0922 0.4985  5 Nd 3.26-3.65
Nd9 0.5898 0.0911 0.1480  6 Nd 3.48-3.77, 4 Sm 3.66-3.88
Nd10 0.9078 0.4232 0.5015  5 Nd 3.26-3.65
Nd11 0.9089 0.4102 0.8520  6 Nd 3.48-3.77, 4 Sm 3.66-3.88
Nd12 0.9931 0.9931 0.6750  5 Nd 3.40-3.68, 2 Ho 3.59
Sm1 0.1780 0.1780 0.1986  2 Ho 3.49, 8 Nd 3.72-3.88, 2 Sm 3.77
Sm2 0.3233 0.3233 0.8271  5 Nd 3.43-3.76, 2 Sm 3.77, 2 Ho 3.81
Sm3 0.5000 0.5000 0.5000  2 Nd 2.96
Sm4 0.6767 0.6767 0.1729  5 Nd 3.43-3.76, 2 Sm 3.77, 2 Ho 3.81
Sm5 0.8220 0.8220 0.8014  2 Ho 3.49, 8 Nd 3.72-3.88, 2 Sm 3.77
Ho1 0.2028 0.7972 0.0000  1 Ho 3.05, 2 Nd 3.09
Ho2 0.7972 0.2028 0.0000  1 Ho 3.05, 2 Nd 3.09

Results
DFT formation energy ... 167 meV/atom
Symmetry ... C2/m


Number 1: E -4.360 eV/atom. Number 2: E -4.523 eV/atom. Number 3: E -4.560 eV/atom. Number 4: E -4.631 eV/atom. Number 5: E -4.467 eV/atom. Number 6: E -4.346 eV/atom. Number 7: E -4.624 eV/atom. Number 8: E -4.348 eV/atom. Number 9: E -4.608 eV/atom. Number 10: E -4.568 eV/atom.